Entry 1:
{"formula": "PmSmEr4S8", "functional": "PBE", "state": "relaxed", "lattice": [[4.0186, 2.3202, 6.6327], [-4.0186, 2.3202, 6.6327], [0.0000, -4.6403, 6.6327]], "species": ["Pm", "Sm", "Er", "Er", "Er", "Er", "S", "S", "S", "S", "S", "S", "S", "S"], "fractional_positions": [[0.0000, 0.0000, 0.0000], [0.3741, 0.3741, 0.3741], [0.3740, 0.3740, 0.8718], [0.3740, 0.8718, 0.3740], [0.7478, 0.7478, 0.7478], [0.8718, 0.3740, 0.3740], [0.1285, 0.1285, 0.5941], [0.1285, 0.5941, 0.1285], [0.1358, 0.1358, 0.1358], [0.1414, 0.6225, 0.6225], [0.5941, 0.1285, 0.1285], [0.6157, 0.6157, 0.6157], [0.6225, 0.1414, 0.6225], [0.6225, 0.6225, 0.1414]], "e_form_raw_ev_per_atom": -1.92}



Entry 2:
{"formula": "ThMg3Hg3", "functional": "PBE", "state": "relaxed", "lattice": [[7.3823, 0.0000, 0.0000], [0.0000, 7.3823, 0.0000], [0.0000, 0.0000, 7.3823]], "species": ["Th", "Th", "Mg", "Mg", "Mg", "Mg", "Mg", "Mg", "Hg", "Hg", "Hg", "Hg", "Hg", "Hg"], "fractional_positions": [[0.0000, 0.0000, 0.0000], [0.5000, 0.5000, 0.5000], [0.0000, 0.2500, 0.5000], [0.0000, 0.7500, 0.5000], [0.2500, 0.5000, 0.0000], [0.5000, 0.0000, 0.2500], [0.5000, 0.0000, 0.7500], [0.7500, 0.5000, 0.0000], [0.0000, 0.5000, 0.2500], [0.0000, 0.5000, 0.7500], [0.2500, 0.0000, 0.5000], [0.5000, 0.2500, 0.0000], [0.5000, 0.7500, 0.0000], [0.7500, 0.0000, 0.5000]], "formation_enthalpy_0k_ev_per_atom": 0.343}



Entry 3:
{"formula": "Mg4Ag3Ir", "functional": "PBE", "state": "relaxed", "lattice": [[3.2644, 0.0000, 0.0000], [0.0000, 3.2644, 0.0000], [0.0000, 0.0000, 13.1799]], "species": ["Mg", "Mg", "Mg", "Mg", "Ag", "Ag", "Ag", "Ir"], "fractional_positions": [[0.0000, 0.0000, 0.1091], [0.0000, 0.0000, 0.3706], [0.0000, 0.0000, 0.6294], [0.0000, 0.0000, 0.8909], [0.5000, 0.5000, 0.2401], [0.5000, 0.5000, 0.5000], [0.5000, 0.5000, 0.7599], [0.5000, 0.5000, 0.0000]], "formation_enthalpy_0k_ev_per_atom": -0.268}